Record 1
First-principles (PBE-GGA) data for an optimized crystal structure of Nd2ErIn4, as listed in the Alexandria database.

Calculated values
Total moment = 0.0 μB per cell
Energy above the lowest structure with this stoichiometry = 0 meV per atom
Energy of formation from the pure elements = -0.325 eV/atom
VASP energy = -27.33 eV per formula unit

Unit cell a=5.286 b=5.286 c=14.977 alpha=90.00 beta=90.00 gamma=90.00
Space group I4/mmm (No. 139)
Symmetry-distinct sites (fractional):
Nd1 0.000 0.000 0.249 [4 per cell]
Er1 0.000 0.000 0.500 [2 per cell]
In1 0.000 0.500 0.109 [8 per cell]

Record 2
First-principles (PBE-GGA) data for an optimized crystal structure of Nd9Er4In11, as listed in the Alexandria database.

Calculated values
Total moment = 0.0 μB per cell
Energy of formation from the pure elements = -0.402 eV/atom
VASP energy = -100.93 eV per formula unit

Unit cell a=18.083 b=21.493 c=3.530 alpha=90.00 beta=90.00 gamma=90.00
Space group Cmmm (No. 65)
Symmetry-distinct sites (fractional):
Nd1 0.000 0.000 0.000 [2 per cell]
Nd2 0.116 0.242 0.000 [8 per cell]
Nd3 0.123 0.414 0.000 [8 per cell]
Er1 0.152 0.085 0.000 [8 per cell]
In1 0.000 0.135 0.500 [4 per cell]
In2 0.000 0.334 0.500 [4 per cell]
In3 0.000 0.500 0.500 [2 per cell]
In4 0.241 0.500 0.500 [4 per cell]
In5 0.245 0.324 0.500 [8 per cell]

Record 3
First-principles (PBE-GGA) data for an optimized crystal structure of Nd5Er2In4, as listed in the Alexandria database.

Calculated values
Total moment = 0.2 μB per cell
Energy above the lowest structure with this stoichiometry = 0 meV per atom
Energy of formation from the pure elements = -0.288 eV/atom
VASP energy = -47.09 eV per formula unit

Unit cell a=8.807 b=3.438 c=10.751 alpha=90.00 beta=95.43 gamma=90.00
Space group P2/m (No. 10)
Symmetry-distinct sites (fractional):
Nd1 0.000 0.000 0.000 [1 per cell]
Nd2 0.038 0.000 0.335 [2 per cell]
Nd3 0.343 0.000 0.859 [2 per cell]
Er1 0.418 0.000 0.362 [2 per cell]
In1 0.260 0.500 0.576 [2 per cell]
In2 0.299 0.500 0.126 [2 per cell]

Record 4
First-principles (PBE-GGA) data for an optimized crystal structure of Nd2Er3In, as listed in the Alexandria database.

Calculated values
Total moment = 0.0 μB per cell
Energy above the lowest structure with this stoichiometry = 10 meV per atom
Energy of formation from the pure elements = -0.135 eV/atom
VASP energy = -26.77 eV per formula unit

Unit cell a=5.120 b=9.292 c=15.518 alpha=90.00 beta=90.00 gamma=90.00
Space group Imma (No. 74)
Symmetry-distinct sites (fractional):
Nd1 0.000 0.250 0.025 [4 per cell]
Nd2 0.000 0.250 0.325 [4 per cell]
Er1 0.000 0.000 0.500 [4 per cell]
Er2 0.000 0.044 0.829 [8 per cell]
In1 0.000 0.250 0.645 [4 per cell]

Record 5
First-principles (PBE-GGA) data for an optimized crystal structure of Nd3ErIn12, as listed in the Alexandria database.

Calculated values
Total moment = 0.0 μB per cell
Energy of formation from the pure elements = -0.444 eV/atom
VASP energy = -58.83 eV per formula unit

Unit cell a=4.692 b=4.692 c=18.838 alpha=90.00 beta=90.00 gamma=90.00
Space group P4/mmm (No. 123)
Symmetry-distinct sites (fractional):
Nd1 0.000 0.000 0.000 [1 per cell]
Nd2 0.000 0.000 0.253 [2 per cell]
Er1 0.000 0.000 0.500 [1 per cell]
In1 0.000 0.500 0.126 [4 per cell]
In2 0.000 0.500 0.379 [4 per cell]
In3 0.500 0.500 0.000 [1 per cell]
In4 0.500 0.500 0.251 [2 per cell]
In5 0.500 0.500 0.500 [1 per cell]

Record 6
First-principles (PBE-GGA) data for an optimized crystal structure of Nd5ErIn3, as listed in the Alexandria database.

Calculated values
Total moment = 1.2 μB per cell
Energy of formation from the pure elements = -0.343 eV/atom
VASP energy = -39.71 eV per formula unit

Unit cell a=9.5759 b=9.5759 c=6.9010 alpha=90.00 beta=90.00 gamma=120.00
Space group P6_3/mcm (No. 193)
Symmetry-distinct sites (fractional):
Nd1 0.0000 0.3381 0.2500 [6 per cell]
Nd2 0.3333 0.6667 0.0000 [4 per cell]
Er1 0.0000 0.0000 0.0000 [2 per cell]
In1 0.0000 0.3242 0.7500 [6 per cell]

Record 7
First-principles (PBE-GGA) data for an optimized crystal structure of NdErIn, as listed in the Alexandria database.

Calculated values
Total moment = 0.0 μB per cell
Energy above the lowest structure with this stoichiometry = 105 meV per atom
Energy of formation from the pure elements = -0.236 eV/atom
VASP energy = -12.78 eV per formula unit

Unit cell a=5.2725 b=5.2725 c=3.7216 alpha=90.00 beta=90.00 gamma=120.00
Space group P3m1 (No. 156)
Symmetry-distinct sites (fractional):
Nd1 0.0000 0.0000 0.0000 [1 per cell]
Er1 0.6667 0.3333 0.4520 [1 per cell]
In1 0.3333 0.6667 0.6183 [1 per cell]

Record 8
First-principles (PBE-GGA) data for an optimized crystal structure of Nd4ErIn, as listed in the Alexandria database.

Calculated values
Total moment = 0.0 μB per cell
Energy above the lowest structure with this stoichiometry = 112 meV per atom
Energy of formation from the pure elements = -0.026 eV/atom
VASP energy = -26.53 eV per formula unit

Unit cell a=5.711 b=21.417 c=6.485 alpha=90.00 beta=90.00 gamma=90.00
Space group Cmc2_1 (No. 36)
Symmetry-distinct sites (fractional):
Nd1 0.000 0.044 0.000 [4 per cell]
Nd2 0.000 0.188 0.151 [4 per cell]
Nd3 0.000 0.249 0.686 [4 per cell]
Nd4 0.000 0.438 0.818 [4 per cell]
Er1 0.000 0.363 0.299 [4 per cell]
In1 0.000 0.104 0.552 [4 per cell]

Question: Which value of VASP energy does entry 3 give?
Answer: -47.09 eV per formula unit

Question: Among the records above, which one has the lowest energy of formation from the pure elements?
Answer: Nd3ErIn12

Question: Which of these has the highest energy of formation from the pure elements?
Answer: Nd4ErIn

Question: total moment of number 5 (Nd3ErIn12)?
Answer: 0.0 μB per cell